Record 1
DFT (PBE-GGA) results for a geometry-optimized Pr3Ho5Th structure.

Cell and atoms, written as POSCAR:
```
Pr3Ho5Th
1.0
7.074 0.000 0.000
0.000 9.809 0.000
0.000 -4.905 8.495
Ho Pr Th
10 6 2
Cartesian
5.305 1.615 2.797 Ho
3.537 4.905 2.832 Ho
5.305 6.580 0.000 Ho
5.305 -3.290 5.698 Ho
3.537 0.000 5.663 Ho
0.000 0.000 5.663 Ho
1.768 -1.615 2.797 Ho
1.768 3.230 0.000 Ho
0.000 4.905 2.832 Ho
1.768 3.290 5.698 Ho
5.305 -1.652 2.861 Pr
5.305 3.304 0.000 Pr
1.768 -3.253 5.634 Pr
5.305 3.253 5.634 Pr
1.768 6.505 0.000 Pr
1.768 1.652 2.861 Pr
3.537 0.000 0.000 Th
0.000 0.000 0.000 Th
```

N(E_F) ... 28.19 states/eV/cell
Crystal system ... hexagonal
Mass density ... 8335 kg/m³
Formation energy from the elements ... 0.065 eV per atom

=====

Record 2
DFT (PBE-GGA) results for a geometry-optimized Pr2HoTh4 structure.

Cell and atoms, written as POSCAR:
```
Pr2HoTh4
1.0
3.556 0.000 -0.469
0.000 3.594 0.000
0.613 0.000 18.359
Th Pr Ho
4 2 1
Cartesian
3.837 1.797 15.370 Th
0.332 1.797 2.519 Th
1.741 0.000 13.195 Th
2.428 0.000 4.694 Th
3.189 1.797 10.455 Pr
0.981 1.797 7.434 Pr
1.778 0.000 -0.235 Ho
```

N(E_F) ... 10.94 states/eV/cell
Crystal system ... orthorhombic
Mass density ... 9688 kg/m³
Formation energy from the elements ... 0.072 eV per atom

=====

Record 3
DFT (PBE-GGA) results for a geometry-optimized Pr5HoTh structure.

Cell and atoms, written as POSCAR:
```
Pr5HoTh
1.0
-3.710 -8.315 -4.077
5.761 3.310 0.213
7.351 -6.760 7.097
Pr Ho Th
10 2 2
Cartesian
3.507 0.132 1.172 Pr
6.687 -9.643 4.990 Pr
3.628 -5.362 0.060 Pr
2.716 -2.122 -1.756 Pr
2.345 -12.172 1.841 Pr
5.896 -11.898 2.061 Pr
5.774 -6.404 3.173 Pr
1.296 -2.904 1.179 Pr
1.912 -8.725 0.234 Pr
7.490 -3.041 2.999 Pr
0.005 -5.797 -0.239 Ho
3.635 -9.279 3.259 Ho
0.000 0.000 0.000 Th
3.676 -3.380 3.549 Th
```

N(E_F) ... 20.40 states/eV/cell
Crystal system ... monoclinic
Mass density ... 7428 kg/m³
Formation energy from the elements ... 0.147 eV per atom